# Ba3Br

A relaxed structure of Ba3Br (PBE-GGA, Alexandria via LeMat-Bulk).

## Properties
Density, g cm⁻³: 3.29
Size of the total moment, μB/cell: 0.77
Formation energy from raw total energies, eV per atom: -0.5328
Distance to the lowest polymorph of the same formula, eV/atom: 0.2217
Space group: Pmm2 (25)

Lattice parameters (Å, degrees): 4.514 7.131 7.714 90.00 90.00 90.00
Element x y z (fractional)
Ba1 0.000 0.000 0.000
Ba2 0.000 0.500 0.317
Ba3 0.500 0.000 0.490
Br1 0.500 0.500 0.619

---

# Ba2Br

A relaxed structure of Ba2Br (PBE-GGA, Alexandria via LeMat-Bulk).

## Properties
Density, g cm⁻³: 3.93
Size of the total moment, μB/cell: 0.00
Formation energy from raw total energies, eV per atom: -0.9516
Distance to the lowest polymorph of the same formula, eV/atom: 0.0633
Space group: Fmmm (69)

Lattice parameters (Å, degrees): 9.444 8.981 4.389 82.18 70.41 27.41
Element x y z (fractional)
Ba1 0.145 0.145 0.855
Ba2 0.855 0.855 0.145
Br1 0.500 0.500 0.500